# Cs6Tl3F14 | Alexandria via LeMat-Bulk | PBE | relaxed
data_Cs6Tl3F14
_chemical_formula_sum 'Cs6 Tl3 F14'
_symmetry_space_group_name_H-M 'P 1'
_symmetry_Int_Tables_number 1
_cell_length_a 6.5200
_cell_length_b 10.5535
_cell_length_c 10.5535
_cell_angle_alpha 120.00
_cell_angle_beta 90.00
_cell_angle_gamma 90.00
loop_
_symmetry_equiv_pos_as_xyz
'x,y,z'
loop_
_atom_site_label
_atom_site_type_symbol
_atom_site_fract_x
_atom_site_fract_y
_atom_site_fract_z
F1 F 0.9696 0.7918 0.8429
F2 F 0.2389 0.8657 0.4002
F3 F 0.5023 0.1999 0.7411
F4 F 0.6263 0.7932 0.5278
F5 F 0.0367 0.3333 0.6667
F6 F 0.4632 0.0000 0.0000
F7 F 0.2389 0.5998 0.4656
F8 F 0.5023 0.5412 0.8001
F9 F 0.9696 0.1571 0.9489
F10 F 0.2389 0.5344 0.1343
F11 F 0.6263 0.7346 0.2068
F12 F 0.5023 0.2589 0.4588
F13 F 0.6263 0.4722 0.2654
F14 F 0.9696 0.0511 0.2082
Cs1 Cs 0.2659 0.7852 0.0661
Cs2 Cs 0.2659 0.9339 0.7191
Cs3 Cs 0.2659 0.2809 0.2148
Cs4 Cs 0.8124 0.0066 0.4476
Cs5 Cs 0.8124 0.4410 0.9934
Cs6 Cs 0.8124 0.5524 0.5590
Tl1 Tl 0.4264 0.6667 0.3333
Tl2 Tl 0.8083 0.0000 0.0000
Tl3 Tl 0.3623 0.3333 0.6667
# total magnetic moment = 0.7 μB per formula unit
# raw formation energy = -2298 meV per atom

# AlPt2Br | Alexandria via LeMat-Bulk | PBE | relaxed
data_AlPt2Br
_chemical_formula_sum 'Al1 Pt2 Br1'
_symmetry_space_group_name_H-M 'P 1'
_symmetry_Int_Tables_number 1
_cell_length_a 4.7627
_cell_length_b 4.7627
_cell_length_c 4.7627
_cell_angle_alpha 126.61
_cell_angle_beta 126.61
_cell_angle_gamma 78.88
loop_
_symmetry_equiv_pos_as_xyz
'x,y,z'
loop_
_atom_site_label
_atom_site_type_symbol
_atom_site_fract_x
_atom_site_fract_y
_atom_site_fract_z
Pt1 Pt 0.0000 0.0000 0.0000
Pt2 Pt 0.5000 0.5000 0.0000
Al1 Al 0.2500 0.7500 0.5000
Br1 Br 0.7500 0.2500 0.5000
# total magnetic moment = 0.0 μB per formula unit
# raw formation energy = 73 meV per atom

# CrFeMo2 | Alexandria via LeMat-Bulk | PBE | relaxed
data_CrFeMo2
_chemical_formula_sum 'Cr1 Fe1 Mo2'
_symmetry_space_group_name_H-M 'P 1'
_symmetry_Int_Tables_number 1
_cell_length_a 3.0683
_cell_length_b 3.0683
_cell_length_c 5.8773
_cell_angle_alpha 90.00
_cell_angle_beta 90.00
_cell_angle_gamma 90.00
loop_
_symmetry_equiv_pos_as_xyz
'x,y,z'
loop_
_atom_site_label
_atom_site_type_symbol
_atom_site_fract_x
_atom_site_fract_y
_atom_site_fract_z
Fe1 Fe 0.5000 0.5000 0.7428
Mo1 Mo 0.5000 0.5000 0.2651
Mo2 Mo 0.0000 0.0000 0.9874
Cr1 Cr 0.0000 0.0000 0.5047
# total magnetic moment = 2.3 μB per formula unit
# energy relative to the elements = 57 kJ/mol of formula units